1.
A plane-wave DFT calculation with PBE-GGA was carried out for Fe2ReB after structural relaxation.

For the total energy, the calculation gives -8.7035 eV/atom.

a b c (Å): 5.5527 5.5527 5.5527
angles (deg): 90.00 90.00 90.00
With the nearest neighbours (Å) after each atom.
Space group F-43m (No. 216)
Inequivalent atoms, fractional coordinates:
Fe  0.0000  0.0000  0.0000 [4 per cell]  4 Fe 2.40, 4 Re 2.40
Fe  0.2500  0.2500  0.2500 [4 per cell]  4 B 2.40, 4 Fe 2.40
Re  0.2500  0.2500  0.7500 [4 per cell]  4 Fe 2.40, 4 B 2.40
B  0.0000  0.0000  0.5000 [4 per cell]  4 Re 2.40, 4 Fe 2.40



2.
A plane-wave DFT calculation with PBE-GGA was carried out for CsSm2CuTe3S after structural relaxation.

For the energy relative to the lowest polymorph listed for this composition, the calculation gives 4.6 kJ per mole of atoms. For the total energy, the calculation gives -4.6583 eV/atom.

a b c (Å): 4.3151 15.3440 15.6697
angles (deg): 90.00 90.00 90.00
With the nearest neighbours (Å) after each atom.
Space group Cmcm (No. 63)
Inequivalent atoms, fractional coordinates:
Cs  0.0000  0.1160  0.2500 [4 per cell]  6 Te 3.59-3.68, 2 Cu 3.96
Sm  0.0000  0.3807  0.0578 [8 per cell]  2 S 2.97, 4 Te 3.10-3.19
Cu  0.0000  0.1676  0.7500 [4 per cell]  4 Te 2.62-2.64
Te  0.0000  0.2574  0.6062 [8 per cell]  1 Cu 2.64
Te  0.0000  0.4291  0.2500 [4 per cell]  2 Cu 2.62
S  0.0000  0.0000  0.0000 [4 per cell]  4 Sm 2.97



3.
A plane-wave DFT calculation with PBE-GGA was carried out for ZrTlFeSe3 after structural relaxation.

For the total energy, the calculation gives -5.7517 eV/atom.

a b c (Å): 8.3971 3.7889 10.3358
angles (deg): 90.00 113.61 90.00
With the nearest neighbours (Å) after each atom.
Space group P2_1/m (No. 11)
Inequivalent atoms, fractional coordinates:
Zr  0.0261  0.2500  0.3326 [2 per cell]  6 Se 2.69-2.78
Tl  0.4812  0.2500  0.2052 [2 per cell]  6 Se 3.25-3.42
Fe  0.0286  0.7500  0.0952 [2 per cell]  4 Se 2.43-2.54, 2 Fe 2.63
Se  0.1865  0.2500  0.6253 [2 per cell]  3 Zr 2.75-2.78
Se  0.1861  0.7500  0.9429 [2 per cell]  3 Fe 2.43-2.54, 1 Zr 2.69
Se  0.2554  0.7500  0.3338 [2 per cell]  1 Fe 2.44, 2 Zr 2.70



4.
A plane-wave DFT calculation with PBE-GGA was carried out for DyPb after structural relaxation.

For the total energy, the calculation gives -3.7393 eV/atom.

a b c (Å): 6.9866 6.9866 6.9866
angles (deg): 90.00 90.00 90.00
With the nearest neighbours (Å) after each atom.
Space group F-43m (No. 216)
Inequivalent atoms, fractional coordinates:
Dy  0.0000  0.0000  0.0000 [4 per cell]  4 Pb 3.03
Pb  0.2500  0.2500  0.7500 [4 per cell]  4 Dy 3.03



5.
A plane-wave DFT calculation with PBE-GGA was carried out for Pr3In3NiPt2 after structural relaxation.

For the total energy, the calculation gives -5.2697 eV/atom.

a b c (Å): 7.7377 7.7377 4.0066
angles (deg): 90.00 90.00 120.00
With the nearest neighbours (Å) after each atom.
Space group P-62m (No. 189)
Inequivalent atoms, fractional coordinates:
Pr  0.0000  0.4087  0.0000 [3 per cell]  4 Pt 3.08, 1 Ni 3.16, 6 In 3.36-3.41
In  0.0000  0.7571  0.5000 [3 per cell]  2 Ni 2.75, 2 Pt 2.99
Ni  0.0000  0.0000  0.0000 [1 per cell]  6 In 2.75
Pt  0.3333  0.6667  0.5000 [2 per cell]  3 In 2.99, 6 Pr 3.08



6.
A plane-wave DFT calculation with PBE-GGA was carried out for BeCoReSi after structural relaxation.

For the energy relative to the lowest polymorph listed for this composition, the calculation gives 0.0 kJ per mole of atoms. For the total energy, the calculation gives -7.3625 eV/atom.

a b c (Å): 5.6337 5.6337 5.6337
angles (deg): 90.00 90.00 90.00
With the nearest neighbours (Å) after each atom.
Space group F-43m (No. 216)
Inequivalent atoms, fractional coordinates:
Be  0.0000  0.0000  0.0000 [4 per cell]  4 Co 2.44, 4 Re 2.44
Co  0.2500  0.2500  0.2500 [4 per cell]  4 Be 2.44, 4 Si 2.44
Re  0.2500  0.2500  0.7500 [4 per cell]  4 Be 2.44, 4 Si 2.44
Si  0.0000  0.0000  0.5000 [4 per cell]  4 Co 2.44, 4 Re 2.44



7.
A plane-wave DFT calculation with PBE-GGA was carried out for Nb4InGeN2 after structural relaxation.

For the total energy, the calculation gives -8.6444 eV/atom.

a b c (Å): 3.2328 3.2328 13.3143
angles (deg): 90.00 90.00 120.00
With the nearest neighbours (Å) after each atom.
Space group P-6m2 (No. 187)
Inequivalent atoms, fractional coordinates:
Nb  0.0000  0.0000  0.1483 [2 per cell]  3 N 2.20
Nb  0.6667  0.3333  0.3198 [2 per cell]  3 N 2.17
In  0.0000  0.0000  0.5000 [1 per cell]  6 Nb 3.04, 6 In 3.23
Ge  0.6667  0.3333  0.0000 [1 per cell]  6 Nb 2.72
N  0.3333  0.6667  0.2360 [2 per cell]  6 Nb 2.17-2.20



8.
A plane-wave DFT calculation with PBE-GGA was carried out for Be2Pt after structural relaxation.

For the energy relative to the lowest polymorph listed for this composition, the calculation gives 15.0 kJ per mole of atoms. For the total energy, the calculation gives -4.9976 eV/atom.

a b c (Å): 6.8446 3.9534 4.8178
angles (deg): 90.00 90.25 90.00
With the nearest neighbours (Å) after each atom.
Space group C2/m (No. 12)
Inequivalent atoms, fractional coordinates:
Be  0.0000  0.0000  0.0000 [2 per cell]  8 Be 2.41-2.59, 6 Pt 2.57-2.58
Be  0.0000  0.0000  0.5000 [2 per cell]  8 Be 2.41-2.58, 6 Pt 2.58
Be  0.1665  0.5000  0.2499 [4 per cell]  5 Pt 2.28-2.41
Pt  0.1669  0.5000  0.7498 [4 per cell]  5 Be 2.28-2.41